LaGa4IrPd2: optimized geometry, PBE-GGA.

Geometry as POSCAR:
```
LaGa4IrPd2
1.0
-1.7686 1.4118 -3.6628
-3.9077 -1.3748 -1.1735
-5.6914 6.9597 2.9002
Ga Pd Ir La
4 2 1 1
direct
0.5972 0.5972 0.2083 Ga
0.1340 0.1340 0.5980 Ga
0.8660 0.8660 0.4020 Ga
0.4028 0.4028 0.7917 Ga
0.7661 0.7661 0.7018 Pd
0.2339 0.2339 0.2982 Pd
0.5000 0.5000 0.5000 Ir
0.0000 0.0000 0.0000 La
```

Calculated values
As for the formation energy: -623.2 meV/atom.